Record 1
A relaxed AcSn2GePt2 crystal, computed with PBE-GGA.

formation energy	-0.56	eV/atom
E	-5.362	eV per atom

a b c (Å): 4.586 4.586 15.203
angles (deg): 90.00 90.00 90.00
Space group I4/mmm (No. 139)
Inequivalent atoms, fractional coordinates:
Ac1 0.000 0.000 0.000 [2 per cell]
Sn1 0.000 0.500 0.250 [4 per cell]
Ge1 0.000 0.000 0.500 [2 per cell]
Pt1 0.000 0.000 0.344 [4 per cell]

Record 2
A relaxed Ac3Sn2Ge2Pt4 crystal, computed with PBE-GGA.

formation energy	-0.93	eV/atom
E	-5.817	eV per atom

a b c (Å): 4.5837 4.5837 15.1821
angles (deg): 90.00 90.00 120.00
Space group P-3m1 (No. 164)
Inequivalent atoms, fractional coordinates:
Ac1 0.0000 0.0000 0.0000 [1 per cell]
Ac2 0.0000 0.0000 0.2695 [2 per cell]
Sn1 0.3333 0.6667 0.5651 [2 per cell]
Ge1 0.3333 0.6667 0.1445 [2 per cell]
Pt1 0.3333 0.6667 0.3864 [2 per cell]
Pt2 0.3333 0.6667 0.8690 [2 per cell]

Record 3
A relaxed Sr2AcGe3Pt4 crystal, computed with PBE-GGA.

formation energy	-0.78	eV/atom
E	-5.334	eV per atom

a b c (Å): 4.567 4.567 11.122
angles (deg): 90.00 90.00 90.00
Space group P-4m2 (No. 115)
Inequivalent atoms, fractional coordinates:
Sr1 0.000 0.500 0.219 [2 per cell]
Ac1 0.000 0.000 0.500 [1 per cell]
Ge1 0.000 0.500 0.893 [2 per cell]
Ge2 0.500 0.500 0.500 [1 per cell]
Pt1 0.000 0.000 0.000 [1 per cell]
Pt2 0.000 0.500 0.671 [2 per cell]
Pt3 0.500 0.500 0.000 [1 per cell]

Record 4
A relaxed SrAc2Ge4Pt3 crystal, computed with PBE-GGA.

formation energy	-0.78	eV/atom
E	-5.434	eV per atom

a b c (Å): 4.491 4.491 11.540
angles (deg): 90.00 90.00 90.00
Space group P-4m2 (No. 115)
Inequivalent atoms, fractional coordinates:
Sr1 0.000 0.000 0.000 [1 per cell]
Ac1 0.000 0.500 0.726 [2 per cell]
Ge1 0.000 0.000 0.500 [1 per cell]
Ge2 0.000 0.500 0.173 [2 per cell]
Ge3 0.500 0.500 0.500 [1 per cell]
Pt1 0.000 0.500 0.391 [2 per cell]
Pt2 0.500 0.500 0.000 [1 per cell]

Record 5
A relaxed SrAc2Ge3Pt4 crystal, computed with PBE-GGA.

formation energy	-0.86	eV/atom
E	-5.649	eV per atom

a b c (Å): 4.494 4.494 11.369
angles (deg): 90.00 90.00 90.00
Space group P-4m2 (No. 115)
Inequivalent atoms, fractional coordinates:
Sr1 0.000 0.000 0.000 [1 per cell]
Ac1 0.000 0.500 0.725 [2 per cell]
Ge1 0.000 0.500 0.389 [2 per cell]
Ge2 0.500 0.500 0.000 [1 per cell]
Pt1 0.000 0.000 0.500 [1 per cell]
Pt2 0.000 0.500 0.170 [2 per cell]
Pt3 0.500 0.500 0.500 [1 per cell]

Record 6
A relaxed Ac2TaGe3Pt4 crystal, computed with PBE-GGA.

formation energy	-0.85	eV/atom
E	-6.654	eV per atom

a b c (Å): 4.479 4.479 10.447
angles (deg): 90.00 90.00 90.00
Space group P-4m2 (No. 115)
Inequivalent atoms, fractional coordinates:
Ac1 0.000 0.500 0.244 [2 per cell]
Ta1 0.000 0.000 0.500 [1 per cell]
Ge1 0.000 0.500 0.875 [2 per cell]
Ge2 0.500 0.500 0.500 [1 per cell]
Pt1 0.000 0.000 0.000 [1 per cell]
Pt2 0.000 0.500 0.629 [2 per cell]
Pt3 0.500 0.500 0.000 [1 per cell]

Record 7
A relaxed AcTbGe2Pt2 crystal, computed with PBE-GGA.

formation energy	-1.06	eV/atom
E	-6.074	eV per atom

a b c (Å): 4.4931 4.4931 7.6413
angles (deg): 90.00 90.00 120.00
Space group P-3m1 (No. 164)
Inequivalent atoms, fractional coordinates:
Ac1 0.0000 0.0000 0.0000 [1 per cell]
Tb1 0.0000 0.0000 0.5000 [1 per cell]
Ge1 0.3333 0.6667 0.2861 [2 per cell]
Pt1 0.3333 0.6667 0.7059 [2 per cell]

Record 8
A relaxed Ac2TbGe3Pt12 crystal, computed with PBE-GGA.

formation energy	-0.41	eV/atom
E	-5.920	eV per atom

a b c (Å): 8.4656 8.4656 19.0376
angles (deg): 90.00 90.00 120.00
Space group R-3m (No. 166, hexagonal axes)
Inequivalent atoms, fractional coordinates:
Ac1 0.0000 0.0000 0.1036 [6 per cell]
Tb1 0.0000 0.0000 0.5000 [3 per cell]
Ge1 0.0000 0.5000 0.0000 [9 per cell]
Pt1 0.0247 0.5124 0.8707 [18 per cell]
Pt2 0.0344 0.5172 0.3714 [18 per cell]

Record 9
A relaxed Ac2TbGe3Pt4 crystal, computed with PBE-GGA.

formation energy	-0.98	eV/atom
E	-6.065	eV per atom

a b c (Å): 4.452 4.452 11.167
angles (deg): 90.00 90.00 90.00
Space group P-4m2 (No. 115)
Inequivalent atoms, fractional coordinates:
Ac1 0.000 0.500 0.229 [2 per cell]
Tb1 0.000 0.000 0.500 [1 per cell]
Ge1 0.000 0.500 0.883 [2 per cell]
Ge2 0.500 0.500 0.500 [1 per cell]
Pt1 0.000 0.000 0.000 [1 per cell]
Pt2 0.000 0.500 0.656 [2 per cell]
Pt3 0.500 0.500 0.000 [1 per cell]

Record 10
A relaxed AcTb2Ge2Pt7 crystal, computed with PBE-GGA.

formation energy	-0.86	eV/atom
E	-6.270	eV per atom

a b c (Å): 5.978 5.820 14.204
angles (deg): 90.00 99.68 90.00
Space group C2/m (No. 12)
Inequivalent atoms, fractional coordinates:
Ac1 0.000 0.000 0.000 [2 per cell]
Tb1 0.124 0.000 0.363 [4 per cell]
Ge1 0.111 0.500 0.264 [4 per cell]
Pt1 0.000 0.500 0.000 [2 per cell]
Pt2 0.133 0.500 0.435 [4 per cell]
Pt3 0.178 0.251 0.831 [8 per cell]

Record 11
A relaxed Ac8GeTe4Pt3 crystal, computed with PBE-GGA.

ΔE_f (raw)	-20.56	eV/f.u.
E	-5.546	eV per atom

a b c (Å): 9.0329 9.0329 23.9763
angles (deg): 90.00 90.00 120.00
Space group R-3m (No. 166, hexagonal axes)
Inequivalent atoms, fractional coordinates:
Ac1 0.0000 0.0000 0.2380 [6 per cell]
Ac2 0.0059 0.5029 0.7611 [18 per cell]
Ge1 0.0000 0.0000 0.5000 [3 per cell]
Te1 0.0000 0.0000 0.0000 [3 per cell]
Te2 0.0000 0.5000 0.0000 [9 per cell]
Pt1 0.0000 0.5000 0.5000 [9 per cell]

Record 12
A relaxed Ac6GeTe3Pt2 crystal, computed with PBE-GGA.

ΔE_f (raw)	-15.20	eV/f.u.
E	-5.498	eV per atom

a b c (Å): 7.841 13.585 8.404
angles (deg): 90.00 108.39 90.00
Space group C2/m (No. 12)
Inequivalent atoms, fractional coordinates:
Ac1 0.230 0.000 0.217 [4 per cell]
Ac2 0.242 0.329 0.218 [8 per cell]
Ge1 0.000 0.500 0.000 [2 per cell]
Te1 0.000 0.000 0.500 [2 per cell]
Te2 0.000 0.337 0.500 [4 per cell]
Pt1 0.000 0.167 0.000 [4 per cell]